No. 1
NaVRu2: relaxed, PBE-GGA.

V = 57.5 Å³/cell
Crystal system = cubic
Formation enthalpy at 0 K = 47.1 kJ/mol of atoms
Calculated total energy = -27.04 eV/f.u.
Mass density = 7.97 g cm⁻³
Energy above the most stable polymorph in this dataset = 0 meV per atom

a b c (Å): 4.3333 4.3333 4.3333
angles (deg): 60.00 60.00 60.00
Last column: nearest neighbours and their distance in Å.
Sites, in units of the cell vectors:
1 Ru 0.2500 0.2500 0.2500  4 V 2.65, 4 Na 2.65
2 Ru 0.7500 0.7500 0.7500  4 Na 2.65, 4 V 2.65
3 V 0.5000 0.5000 0.5000  8 Ru 2.65
4 Na 0.0000 0.0000 0.0000  8 Ru 2.65

No. 2
NaVRu3: relaxed, PBE-GGA.

V = 92.9 Å³/cell
Crystal system = cubic
Formation enthalpy at 0 K = 102.7 kJ/mol of atoms
Calculated total energy = -32.94 eV/f.u.
Mass density = 6.74 g cm⁻³
Energy above the most stable polymorph in this dataset = 0 meV per atom

a b c (Å): 4.5288 4.5288 4.5288
angles (deg): 90.00 90.00 90.00
Last column: nearest neighbours and their distance in Å.
Sites, in units of the cell vectors:
1 V 0.0000 0.0000 0.0000  6 Ru 2.26
2 Ru 0.0000 0.5000 0.0000  2 V 2.26
3 Ru 0.0000 0.0000 0.5000  2 V 2.26
4 Ru 0.5000 0.0000 0.0000  2 V 2.26
5 Na 0.5000 0.5000 0.5000  12 Ru 3.20